(1)
Here is a relaxed P2Pd6Pb3 crystal from Alexandria. Energies are from PBE.

abc: 4.244 4.244 11.897
angles: 100.27 100.27 90.00
Fractional coordinates of all 11 atoms:
Pd 0.597 0.097 0.195
Pd 0.403 0.903 0.805
Pd 0.319 0.319 0.638
Pd 0.903 0.403 0.805
Pd 0.097 0.597 0.195
Pd 0.681 0.681 0.362
Pb 0.197 0.197 0.393
Pb 0.000 0.000 0.000
Pb 0.803 0.803 0.607
P 0.450 0.450 0.901
P 0.550 0.550 0.099

Results
Space group ... I4/mmm (139)
M_tot ... 0.00 Bohr magnetons per cell
Energy of formation ... -0.29 eV/atom
Uncorrected energy ... -5.12 eV/atom


(2)
Here is a relaxed MgTeC2 crystal from Alexandria. Energies are from PBE.

abc: 5.161 5.161 5.956
angles: 64.32 64.32 90.00
Fractional coordinates of all 8 atoms:
C 0.645 0.125 0.250
C 0.375 0.355 0.750
C 0.875 0.895 0.750
C 0.105 0.625 0.250
Mg 0.250 0.750 0.500
Mg 0.500 0.500 0.000
Te 0.000 0.000 0.000
Te 0.750 0.250 0.500

Results
Space group ... I-42d (122)
M_tot ... 0.00 Bohr magnetons per cell
Energy relative to the lowest polymorph listed for this composition ... 0.000 eV/atom
Uncorrected energy ... -4.69 eV/atom


(3)
Here is a relaxed DyY6Th4 crystal from Alexandria. Energies are from PBE.

abc: 5.736 5.617 25.997
angles: 90.00 90.00 120.71
Fractional coordinates of all 22 atoms:
Y 0.473 0.945 0.250
Y 0.815 0.629 0.104
Y 0.143 0.286 0.181
Y 0.857 0.714 0.681
Y 0.527 0.055 0.750
Y 0.185 0.371 0.896
Y 0.857 0.714 0.819
Y 0.815 0.629 0.396
Y 0.500 0.000 0.500
Y 0.500 0.000 0.000
Y 0.185 0.371 0.604
Y 0.143 0.286 0.319
Dy 0.191 0.382 0.750
Dy 0.809 0.618 0.250
Th 0.843 0.686 0.546
Th 0.157 0.314 0.046
Th 0.474 0.949 0.377
Th 0.157 0.314 0.454
Th 0.474 0.949 0.123
Th 0.526 0.051 0.623
Th 0.843 0.686 0.954
Th 0.526 0.051 0.877

Results
Space group ... Cmcm (63)
M_tot ... 0.00 Bohr magnetons per cell
Energy of formation ... 0.16 eV/atom
Uncorrected energy ... -6.48 eV/atom


(4)
Here is a relaxed Cs3CaSn2F9 crystal from Alexandria. Energies are from PBE.

abc: 6.686 6.686 8.188
angles: 90.00 90.00 120.00
Fractional coordinates of all 15 atoms:
F 0.678 0.839 0.339
F 0.839 0.161 0.661
F 0.161 0.322 0.339
F 0.161 0.839 0.339
F 0.500 0.500 0.000
F 0.839 0.678 0.661
F 0.000 0.500 0.000
F 0.500 0.000 0.000
F 0.322 0.161 0.661
Cs 0.333 0.667 0.666
Cs 0.000 0.000 0.000
Cs 0.667 0.333 0.334
Sn 0.333 0.667 0.174
Sn 0.667 0.333 0.826
Ca 0.000 0.000 0.500

Results
Space group ... P-3m1 (164)
M_tot ... 0.00 Bohr magnetons per cell
Uncorrected energy ... -4.77 eV/atom


(5)
Here is a relaxed Tb2Fe2C3 crystal from Alexandria. Energies are from PBE.

abc: 3.417 6.161 5.623
angles: 126.78 107.69 90.00
Fractional coordinates of all 7 atoms:
Tb 0.569 0.807 0.137
Tb 0.431 0.193 0.863
C 0.195 0.635 0.391
C 0.805 0.365 0.609
C 0.000 0.000 0.000
Fe 0.797 0.680 0.594
Fe 0.203 0.320 0.406

Results
Space group ... C2/m (12)
M_tot ... 0.00 Bohr magnetons per cell
Energy of formation ... -0.26 eV/atom
Energy relative to the lowest polymorph listed for this composition ... 0.000 eV/atom
Uncorrected energy ... -7.95 eV/atom


(6)
Here is a relaxed Tc2Sb3 crystal from Alexandria. Energies are from PBE.

abc: 10.607 10.607 10.607
angles: 18.28 18.28 18.28
Fractional coordinates of all 5 atoms:
Tc 0.601 0.601 0.601
Tc 0.399 0.399 0.399
Sb 0.210 0.210 0.210
Sb 0.000 0.000 0.000
Sb 0.790 0.790 0.790

Results
Space group ... R-3m (166)
M_tot ... 0.00 Bohr magnetons per cell
Energy relative to the lowest polymorph listed for this composition ... 0.187 eV/atom
Uncorrected energy ... -6.43 eV/atom


(7)
Here is a relaxed HfZn2Ir crystal from Alexandria. Energies are from PBE.

abc: 3.803 3.803 10.073
angles: 79.12 79.12 90.00
Fractional coordinates of all 8 atoms:
Ir 0.000 0.000 0.000
Ir 0.750 0.250 0.500
Zn 0.375 0.351 0.750
Zn 0.101 0.625 0.250
Zn 0.649 0.125 0.250
Zn 0.875 0.899 0.750
Hf 0.500 0.500 0.000
Hf 0.250 0.750 0.500

Results
Space group ... I-42d (122)
M_tot ... 0.00 Bohr magnetons per cell
Energy of formation ... -0.17 eV/atom
Uncorrected energy ... -5.51 eV/atom


(8)
Here is a relaxed KLi2Zn crystal from Alexandria. Energies are from PBE.

abc: 5.420 5.420 5.420
angles: 60.00 60.00 60.00
Fractional coordinates of all 4 atoms:
Li 0.250 0.250 0.250
Li 0.000 0.000 0.000
Zn 0.750 0.750 0.750
K 0.500 0.500 0.500

Results
Space group ... F-43m (216)
M_tot ... 0.00 Bohr magnetons per cell
Energy of formation ... 0.20 eV/atom
Uncorrected energy ... -1.35 eV/atom


(9)
Here is a relaxed KCuP2 crystal from Alexandria. Energies are from PBE.

abc: 3.919 3.919 6.959
angles: 90.00 90.00 116.94
Fractional coordinates of all 4 atoms:
Cu 0.500 0.500 0.250
P 0.000 0.000 0.404
P 0.000 0.000 0.096
K 0.500 0.500 0.750

Results
Space group ... Cmmm (65)
M_tot ... 0.00 Bohr magnetons per cell
Energy of formation ... 0.00 eV/atom
Energy relative to the lowest polymorph listed for this composition ... 0.134 eV/atom
Uncorrected energy ... -4.00 eV/atom


(10)
Here is a relaxed TbPm2Sm4Dy2 crystal from Alexandria. Energies are from PBE.

abc: 6.872 9.992 6.703
angles: 121.37 126.91 59.37
Fractional coordinates of all 9 atoms:
Sm 0.626 0.756 0.511
Sm 0.735 0.885 0.203
Sm 0.265 0.115 0.797
Sm 0.374 0.244 0.489
Dy 0.180 0.558 0.968
Dy 0.820 0.442 0.032
Tb 0.000 0.000 0.000
Pm 0.730 0.342 0.397
Pm 0.270 0.658 0.603

Results
Space group ... P-1 (2)
M_tot ... 0.00 Bohr magnetons per cell
Energy of formation ... 0.08 eV/atom
Uncorrected energy ... -4.61 eV/atom


(11)
Here is a relaxed AlCdW2 crystal from Alexandria. Energies are from PBE.

abc: 2.762 2.762 9.007
angles: 90.00 90.00 90.00
Fractional coordinates of all 4 atoms:
W 0.000 0.000 0.012
W 0.500 0.500 0.259
Cd 0.500 0.500 0.750
Al 0.000 0.000 0.479

Results
Space group ... P4mm (99)
M_tot ... 0.00 Bohr magnetons per cell
Energy of formation ... 0.39 eV/atom
Energy relative to the lowest polymorph listed for this composition ... 0.137 eV/atom
Uncorrected energy ... -7.25 eV/atom


(12)
Here is a relaxed LaSm2MgO crystal from Alexandria. Energies are from PBE.

abc: 5.109 4.962 4.962
angles: 90.00 90.00 90.00
Fractional coordinates of all 5 atoms:
Sm 0.000 0.500 0.000
Sm 0.000 0.000 0.500
O 0.000 0.000 0.000
Mg 0.500 0.500 0.500
La 0.500 0.000 0.000

Results
Space group ... P4/mmm (123)
M_tot ... 0.00 Bohr magnetons per cell
Uncorrected energy ... -5.37 eV/atom


(13)
Here is a relaxed La4Pm5Sc crystal from Alexandria. Energies are from PBE.

abc: 3.685 3.685 25.365
angles: 90.00 90.00 90.00
Fractional coordinates of all 10 atoms:
La 0.000 0.000 0.397
La 0.000 0.000 0.603
La 0.000 0.000 0.192
La 0.000 0.000 0.808
Pm 0.500 0.500 0.912
Pm 0.500 0.500 0.500
Pm 0.500 0.500 0.705
Pm 0.500 0.500 0.088
Pm 0.500 0.500 0.295
Sc 0.000 0.000 0.000

Results
Space group ... P4/mmm (123)
M_tot ... 0.00 Bohr magnetons per cell
Energy of formation ... 0.03 eV/atom
Energy relative to the lowest polymorph listed for this composition ... 0.000 eV/atom
Uncorrected energy ... -4.95 eV/atom


(14)
Here is a relaxed Mn2WSe2 crystal from Alexandria. Energies are from PBE.

abc: 5.399 5.399 5.399
angles: 135.64 135.64 64.53
Fractional coordinates of all 5 atoms:
Se 0.365 0.365 0.000
Se 0.635 0.635 0.000
Mn 0.250 0.750 0.500
Mn 0.750 0.250 0.500
W 0.000 0.000 0.000

Results
Space group ... I4/mmm (139)
M_tot ... 1.77 Bohr magnetons per cell
Uncorrected energy ... -6.84 eV/atom


(15)
Here is a relaxed LaAlGa2Fe crystal from Alexandria. Energies are from PBE.

abc: 4.607 4.558 4.607
angles: 90.00 90.00 90.00
Fractional coordinates of all 5 atoms:
Ga 0.000 0.000 0.500
Ga 0.500 0.000 0.000
Al 0.000 0.500 0.000
Fe 0.000 0.000 0.000
La 0.500 0.500 0.500

Results
Space group ... P4/mmm (123)
M_tot ... 0.00 Bohr magnetons per cell
Energy of formation ... -0.44 eV/atom
Uncorrected energy ... -5.07 eV/atom


(16)
Here is a relaxed Na3PaBi3Se8 crystal from Alexandria. Energies are from PBE.

abc: 8.487 8.487 8.649
angles: 119.39 90.00 120.00
Fractional coordinates of all 15 atoms:
Bi 0.500 0.500 0.500
Bi 0.000 0.500 0.500
Bi 0.500 0.000 0.500
Se 0.254 0.508 0.262
Se 0.237 0.991 0.727
Se 0.754 0.991 0.727
Se 0.237 0.474 0.727
Se 0.763 0.009 0.273
Se 0.763 0.526 0.273
Se 0.746 0.492 0.738
Se 0.246 0.009 0.273
Pa 0.000 0.000 0.500
Na 0.000 0.000 0.000
Na 0.000 0.500 0.000
Na 0.500 0.500 0.000

Results
Space group ... R-3m (166)
M_tot ... 0.83 Bohr magnetons per cell
Uncorrected energy ... -4.39 eV/atom


(17)
Here is a relaxed UPaRe2 crystal from Alexandria. Energies are from PBE.

abc: 3.393 3.393 6.920
angles: 90.00 90.00 90.00
Fractional coordinates of all 4 atoms:
Pa 0.500 0.500 0.500
Re 0.000 0.000 0.770
Re 0.000 0.000 0.230
U 0.500 0.500 0.000

Results
Space group ... P4/mmm (123)
M_tot ... 0.01 Bohr magnetons per cell
Energy of formation ... 0.14 eV/atom
Energy relative to the lowest polymorph listed for this composition ... 0.000 eV/atom
Uncorrected energy ... -11.28 eV/atom


(18)
Here is a relaxed Tb5Tm2Th2 crystal from Alexandria. Energies are from PBE.

abc: 3.473 8.207 12.670
angles: 116.04 97.88 90.00
Fractional coordinates of all 9 atoms:
Tb 0.091 0.444 0.183
Tb 0.304 0.173 0.608
Tb 0.909 0.556 0.817
Tb 0.696 0.827 0.392
Tb 0.000 0.000 0.000
Tm 0.157 0.124 0.314
Tm 0.843 0.876 0.686
Th 0.552 0.738 0.103
Th 0.448 0.262 0.897

Results
Space group ... C2/m (12)
M_tot ... 0.00 Bohr magnetons per cell
Energy of formation ... 0.30 eV/atom
Energy relative to the lowest polymorph listed for this composition ... 0.049 eV/atom
Uncorrected energy ... -4.92 eV/atom


(19)
Here is a relaxed ZrNbPt4 crystal from Alexandria. Energies are from PBE.

abc: 3.461 4.948 6.975
angles: 101.01 75.63 69.53
Fractional coordinates of all 6 atoms:
Pt 0.820 0.520 0.839
Pt 0.180 0.480 0.161
Pt 0.658 0.005 0.679
Pt 0.342 0.995 0.321
Zr 0.500 0.500 0.500
Nb 0.000 0.000 0.000

Results
Space group ... C2/m (12)
M_tot ... 0.00 Bohr magnetons per cell
Energy of formation ... -0.85 eV/atom
Uncorrected energy ... -7.98 eV/atom


(20)
Here is a relaxed PaInMo crystal from Alexandria. Energies are from PBE.

abc: 3.311 3.311 6.479
angles: 104.80 104.80 90.00
Fractional coordinates of all 3 atoms:
Pa 0.309 0.309 0.618
In 0.023 0.023 0.046
Mo 0.668 0.668 0.336

Results
Space group ... I4mm (107)
M_tot ... 0.00 Bohr magnetons per cell
Energy of formation ... 0.19 eV/atom
Energy relative to the lowest polymorph listed for this composition ... 0.000 eV/atom
Uncorrected energy ... -7.50 eV/atom